[1]
# MoN2 (PBE-GGA, optimized geometry)
data_MoN2
_chemical_formula_sum 'Mo2 N4'
_space_group_name_H-M_alt 'P 1'
_space_group_IT_number 1
_cell_length_a 4.859
_cell_length_b 4.859
_cell_length_c 3.031
_cell_angle_alpha 90.00
_cell_angle_beta 90.00
_cell_angle_gamma 90.00
loop_
_space_group_symop_operation_xyz
'x,y,z'
loop_
_atom_site_label
_atom_site_fract_x
_atom_site_fract_y
_atom_site_fract_z
Mo1 0.000 0.000 0.001
Mo2 0.500 0.500 0.501
N1 0.204 0.204 0.380
N2 0.796 0.796 0.380
N3 0.704 0.296 0.880
N4 0.296 0.704 0.880
# M_tot in μB per formula unit: 0.0
# E in eV per atom: -9.175
# Symmetry: No. 102
# V in Å³ per cell: 71.58

[2]
# CoNiAsPt (PBE-GGA, optimized geometry)
data_CoNiAsPt
_chemical_formula_sum 'Co1 Ni1 As1 Pt1'
_space_group_name_H-M_alt 'P 1'
_space_group_IT_number 1
_cell_length_a 4.228
_cell_length_b 4.228
_cell_length_c 4.228
_cell_angle_alpha 60.00
_cell_angle_beta 60.00
_cell_angle_gamma 60.00
loop_
_space_group_symop_operation_xyz
'x,y,z'
loop_
_atom_site_label
_atom_site_fract_x
_atom_site_fract_y
_atom_site_fract_z
As1 0.000 0.000 0.000
Co1 0.750 0.750 0.750
Ni1 0.250 0.250 0.250
Pt1 0.500 0.500 0.500
# M_tot in μB per formula unit: 0.1
# E in eV per atom: -5.805
# Symmetry: No. 216
# V in Å³ per cell: 53.43

[3]
# AlCuReTc (PBE-GGA, optimized geometry)
data_AlCuReTc
_chemical_formula_sum 'Al1 Cu1 Re1 Tc1'
_space_group_name_H-M_alt 'P 1'
_space_group_IT_number 1
_cell_length_a 4.278
_cell_length_b 4.278
_cell_length_c 4.278
_cell_angle_alpha 60.00
_cell_angle_beta 60.00
_cell_angle_gamma 60.00
loop_
_space_group_symop_operation_xyz
'x,y,z'
loop_
_atom_site_label
_atom_site_fract_x
_atom_site_fract_y
_atom_site_fract_z
Al1 0.000 0.000 0.000
Cu1 0.750 0.750 0.750
Re1 0.500 0.500 0.500
Tc1 0.250 0.250 0.250
# M_tot in μB per formula unit: 0.0
# E in eV per atom: -7.614
# Symmetry: No. 216
# V in Å³ per cell: 55.36

[4]
# K2PtSe3 (PBE-GGA, optimized geometry)
data_K2PtSe3
_chemical_formula_sum 'K4 Pt2 Se6'
_space_group_name_H-M_alt 'P 1'
_space_group_IT_number 1
_cell_length_a 6.465
_cell_length_b 6.621
_cell_length_c 9.420
_cell_angle_alpha 104.58
_cell_angle_beta 103.59
_cell_angle_gamma 106.10
loop_
_space_group_symop_operation_xyz
'x,y,z'
loop_
_atom_site_label
_atom_site_fract_x
_atom_site_fract_y
_atom_site_fract_z
K1 0.362 0.284 0.109
K2 0.145 0.877 0.352
K3 0.855 0.123 0.648
K4 0.638 0.716 0.891
Pt1 0.909 0.290 0.306
Pt2 0.091 0.710 0.694
Se1 0.871 0.360 0.059
Se2 0.606 0.937 0.237
Se3 0.729 0.494 0.484
Se4 0.271 0.506 0.516
Se5 0.394 0.063 0.763
Se6 0.129 0.640 0.941
# M_tot in μB per formula unit: 0.0
# E in eV per atom: -3.740
# Symmetry: No. 2
# V in Å³ per cell: 354.24